Record 1
! GGA-PBE Ta2CoTc, relaxed; values from VASP
! Electronic total energy, eV per atom: -10.33
! Calculated volume, Å³/atom: 15.54
! SG: Pm (6)
&SYSTEM
  ibrav = 0, nat = 4, ntyp = 3
/
ATOMIC_SPECIES
Ta 180.95 Ta.upf
Co 58.93 Co.upf
Tc 98.00 Tc.upf
ATOMIC_POSITIONS crystal
Ta 0.000 0.000 0.000
Ta 0.269 0.500 0.699
Co 0.524 0.000 0.510
Tc 0.740 0.500 0.201
CELL_PARAMETERS angstrom
2.801 0.000 0.000
0.000 4.482 0.000
-0.895 0.000 4.952

***

Record 2
! GGA-PBE AgHg2S, relaxed; values from VASP
! Calculated volume, Å³/atom: 26.49
! SG: I-42d (122)
! E_form (uncorrected), meV per atom: 124
&SYSTEM
  ibrav = 0, nat = 8, ntyp = 3
/
ATOMIC_SPECIES
Ag 107.87 Ag.upf
Hg 200.59 Hg.upf
S 32.06 S.upf
ATOMIC_POSITIONS crystal
Ag 0.000 0.000 0.000
Ag 0.750 0.250 0.500
Hg 0.202 0.125 0.577
Hg 0.375 0.798 0.923
Hg 0.548 0.625 0.423
Hg 0.875 0.452 0.077
S 0.250 0.750 0.500
S 0.500 0.500 0.000
CELL_PARAMETERS angstrom
-4.678 4.678 2.421
4.678 -4.678 2.421
4.678 4.678 -2.421

***

Record 3
! GGA-PBE Rb2MgCu2Br6, relaxed; values from VASP
! Calculated volume, Å³/atom: 31.18
! SG: C2/m (12)
! E_form (uncorrected), meV per atom: -1104
&SYSTEM
  ibrav = 0, nat = 11, ntyp = 4
/
ATOMIC_SPECIES
Rb 85.47 Rb.upf
Mg 24.30 Mg.upf
Cu 63.55 Cu.upf
Br 79.90 Br.upf
ATOMIC_POSITIONS crystal
Rb 0.233 0.233 0.216
Rb 0.767 0.767 0.784
Mg 0.000 0.000 0.500
Cu 0.443 0.443 0.787
Cu 0.557 0.557 0.213
Br 0.200 0.721 0.218
Br 0.238 0.238 0.666
Br 0.279 0.800 0.782
Br 0.721 0.200 0.218
Br 0.762 0.762 0.334
Br 0.800 0.279 0.782
CELL_PARAMETERS angstrom
6.710 -3.821 0.000
6.710 3.821 0.000
-4.091 0.000 6.690

***

Record 4
! GGA-PBE NbAlAu2, relaxed; values from VASP
! Electronic total energy, eV per atom: -5.25
! Calculated volume, Å³/atom: 17.41
! SG: P4/mmm (123)
&SYSTEM
  ibrav = 0, nat = 4, ntyp = 3
/
ATOMIC_SPECIES
Nb 92.91 Nb.upf
Al 26.98 Al.upf
Au 196.97 Au.upf
ATOMIC_POSITIONS crystal
Nb 0.000 0.000 0.000
Al 0.500 0.500 0.000
Au 0.000 0.500 0.500
Au 0.500 0.000 0.500
CELL_PARAMETERS angstrom
4.086 0.000 0.000
0.000 4.086 0.000
0.000 0.000 4.169

***

| no. | spin magnetization (μB per atom) |
| --- | --- |
| 1 | 0.078 |
| 2 | 0.000 |
| 3 | 0.000 |
| 4 | 0.000 |